(1)
Eu3Ag5F12: optimized geometry, GGA-PBE.

a = 12.1693 Å, b = 12.1693 Å, c = 12.1693 Å
α = 109.47°, β = 109.47°, γ = 109.47°
Closest atoms and distances in Å follow each position.
Sites, in units of the cell vectors:
1 Ag 0.5000 0.0000 0.0000  6 F 2.44
2 F 0.9196 0.8304 0.5619  2 Ag 2.31-2.44, 2 Eu 2.50-2.58, 1 F 2.55
3 F 0.3577 0.4196 0.0893  2 Ag 2.31-2.44, 2 Eu 2.50-2.58, 1 F 2.55
4 F 0.2685 0.8577 0.9381  2 Ag 2.31-2.44, 2 Eu 2.50-2.58, 1 F 2.55
5 Eu 0.8750 0.7500 0.1250  8 F 2.50-2.58
6 F 0.1423 0.4107 0.0804  2 Ag 2.31-2.44, 2 Eu 2.50-2.58, 1 F 2.55
7 F 0.4107 0.2685 0.3304  2 Ag 2.31-2.44, 2 Eu 2.50-2.58, 1 F 2.55
8 Eu 0.1250 0.2500 0.8750  8 F 2.50-2.58
9 F 0.4381 0.7685 0.8577  2 Ag 2.31-2.44, 2 Eu 2.50-2.58, 1 F 2.55
10 F 0.0804 0.1696 0.4381  2 Ag 2.31-2.44, 2 Eu 2.50-2.58, 1 F 2.55
11 F 0.5893 0.8577 0.4196  2 Ag 2.31-2.44, 2 Eu 2.50-2.58, 1 F 2.55
12 F 0.0619 0.4196 0.8304  2 Ag 2.31-2.44, 2 Eu 2.50-2.58, 1 F 2.55
13 Eu 0.6250 0.3750 0.7500  8 F 2.50-2.58
14 F 0.9381 0.5804 0.1696  2 Ag 2.31-2.44, 2 Eu 2.50-2.58, 1 F 2.55
15 Ag 0.5000 0.5000 0.5000  6 F 2.44
16 F 0.2315 0.6696 0.0893  2 Ag 2.31-2.44, 2 Eu 2.50-2.58, 1 F 2.55
17 F 0.1423 0.7315 0.5619  2 Ag 2.31-2.44, 2 Eu 2.50-2.58, 1 F 2.55
18 F 0.0893 0.1696 0.2315  2 Ag 2.31-2.44, 2 Eu 2.50-2.58, 1 F 2.55
19 Ag 0.6250 0.7500 0.8750  4 F 2.31
20 F 0.9381 0.3577 0.2685  2 Ag 2.31-2.44, 2 Eu 2.50-2.58, 1 F 2.55
21 F 0.6423 0.5804 0.9107  2 Ag 2.31-2.44, 2 Eu 2.50-2.58, 1 F 2.55
22 Eu 0.2500 0.1250 0.3750  8 F 2.50-2.58
23 Ag 0.3750 0.1250 0.7500  4 F 2.31
24 F 0.5619 0.3304 0.9196  2 Ag 2.31-2.44, 2 Eu 2.50-2.58, 1 F 2.55
25 Eu 0.2500 0.6250 0.8750  8 F 2.50-2.58
26 Ag 0.0000 0.5000 0.5000  6 F 2.44
27 F 0.4107 0.1423 0.5804  2 Ag 2.31-2.44, 2 Eu 2.50-2.58, 1 F 2.55
28 F 0.0619 0.6423 0.7315  2 Ag 2.31-2.44, 2 Eu 2.50-2.58, 1 F 2.55
29 Ag 0.7500 0.1250 0.8750  4 F 2.31
30 F 0.9196 0.0893 0.8577  2 Ag 2.31-2.44, 2 Eu 2.50-2.58, 1 F 2.55
31 F 0.8304 0.9196 0.0619  2 Ag 2.31-2.44, 2 Eu 2.50-2.58, 1 F 2.55
32 F 0.3304 0.7685 0.4107  2 Ag 2.31-2.44, 2 Eu 2.50-2.58, 1 F 2.55
33 F 0.5619 0.2315 0.1423  2 Ag 2.31-2.44, 2 Eu 2.50-2.58, 1 F 2.55
34 Ag 0.2500 0.8750 0.1250  4 F 2.31
35 Eu 0.7500 0.8750 0.6250  8 F 2.50-2.58
36 F 0.9107 0.8304 0.7685  2 Ag 2.31-2.44, 2 Eu 2.50-2.58, 1 F 2.55
37 Ag 0.0000 0.0000 0.0000  6 F 2.44
38 Eu 0.3750 0.7500 0.6250  8 F 2.50-2.58
39 Eu 0.8750 0.1250 0.2500  8 F 2.50-2.58
40 Ag 0.5000 0.0000 0.5000  6 F 2.44
41 F 0.6423 0.0619 0.2315  2 Ag 2.31-2.44, 2 Eu 2.50-2.58, 1 F 2.55
42 F 0.0893 0.9196 0.3577  2 Ag 2.31-2.44, 2 Eu 2.50-2.58, 1 F 2.55
43 Ag 0.2500 0.3750 0.6250  4 F 2.31
44 F 0.4381 0.6696 0.0804  2 Ag 2.31-2.44, 2 Eu 2.50-2.58, 1 F 2.55
45 Ag 0.0000 0.0000 0.5000  6 F 2.44
46 Ag 0.8750 0.2500 0.6250  4 F 2.31
47 F 0.1696 0.0893 0.7315  2 Ag 2.31-2.44, 2 Eu 2.50-2.58, 1 F 2.55
48 Ag 0.1250 0.3750 0.2500  4 F 2.31
49 F 0.9107 0.0804 0.6423  2 Ag 2.31-2.44, 2 Eu 2.50-2.58, 1 F 2.55
50 F 0.6696 0.4381 0.5804  2 Ag 2.31-2.44, 2 Eu 2.50-2.58, 1 F 2.55
51 F 0.8304 0.9107 0.2685  2 Ag 2.31-2.44, 2 Eu 2.50-2.58, 1 F 2.55
52 F 0.6696 0.2315 0.5893  2 Ag 2.31-2.44, 2 Eu 2.50-2.58, 1 F 2.55
53 F 0.7685 0.4381 0.3577  2 Ag 2.31-2.44, 2 Eu 2.50-2.58, 1 F 2.55
54 Ag 0.3750 0.2500 0.1250  4 F 2.31
55 F 0.3577 0.9381 0.7685  2 Ag 2.31-2.44, 2 Eu 2.50-2.58, 1 F 2.55
56 Eu 0.3750 0.6250 0.2500  8 F 2.50-2.58
57 Ag 0.5000 0.5000 0.0000  6 F 2.44
58 F 0.5804 0.6423 0.4107  2 Ag 2.31-2.44, 2 Eu 2.50-2.58, 1 F 2.55
59 Eu 0.1250 0.8750 0.7500  8 F 2.50-2.58
60 F 0.2315 0.5619 0.6423  2 Ag 2.31-2.44, 2 Eu 2.50-2.58, 1 F 2.55
61 Ag 0.0000 0.5000 0.0000  6 F 2.44
62 F 0.4196 0.3577 0.5893  2 Ag 2.31-2.44, 2 Eu 2.50-2.58, 1 F 2.55
63 Eu 0.6250 0.2500 0.3750  8 F 2.50-2.58
64 F 0.7685 0.3304 0.9107  2 Ag 2.31-2.44, 2 Eu 2.50-2.58, 1 F 2.55
65 Ag 0.6250 0.8750 0.2500  4 F 2.31
66 Ag 0.7500 0.6250 0.3750  4 F 2.31
67 F 0.8577 0.5893 0.9196  2 Ag 2.31-2.44, 2 Eu 2.50-2.58, 1 F 2.55
68 F 0.7315 0.1423 0.0619  2 Ag 2.31-2.44, 2 Eu 2.50-2.58, 1 F 2.55
69 F 0.5804 0.9381 0.6696  2 Ag 2.31-2.44, 2 Eu 2.50-2.58, 1 F 2.55
70 F 0.3304 0.5619 0.4196  2 Ag 2.31-2.44, 2 Eu 2.50-2.58, 1 F 2.55
71 F 0.8577 0.2685 0.4381  2 Ag 2.31-2.44, 2 Eu 2.50-2.58, 1 F 2.55
72 F 0.2685 0.4107 0.8304  2 Ag 2.31-2.44, 2 Eu 2.50-2.58, 1 F 2.55
73 F 0.0804 0.9107 0.1423  2 Ag 2.31-2.44, 2 Eu 2.50-2.58, 1 F 2.55
74 Ag 0.1250 0.7500 0.3750  4 F 2.31
75 F 0.5893 0.7315 0.6696  2 Ag 2.31-2.44, 2 Eu 2.50-2.58, 1 F 2.55
76 F 0.1696 0.0804 0.9381  2 Ag 2.31-2.44, 2 Eu 2.50-2.58, 1 F 2.55
77 Ag 0.8750 0.6250 0.7500  4 F 2.31
78 F 0.7315 0.5893 0.1696  2 Ag 2.31-2.44, 2 Eu 2.50-2.58, 1 F 2.55
79 Eu 0.7500 0.3750 0.1250  8 F 2.50-2.58
80 F 0.4196 0.0619 0.3304  2 Ag 2.31-2.44, 2 Eu 2.50-2.58, 1 F 2.55

Summary:
ρ (g cm⁻³): 5.86
ΔE_f (raw) (eV per atom): -2.334

***

(2)
EuAg2F: optimized geometry, GGA-PBE.

a = 3.2234 Å, b = 3.2234 Å, c = 9.6392 Å
α = 80.37°, β = 80.37°, γ = 60.00°
Closest atoms and distances in Å follow each position.
Sites, in units of the cell vectors:
1 Eu 0.0000 0.0000 0.0000  2 Ag 3.01, 6 Eu 3.22
2 F 0.5000 0.5000 0.5000  6 Ag 2.54
3 Ag 0.1059 0.1059 0.6822  3 F 2.54
4 Ag 0.8941 0.8941 0.3178  3 F 2.54

Summary:
ρ (g cm⁻³): 7.55
ΔE_f (raw) (eV per atom): -0.298

***

(3)
EuGa2Ag: optimized geometry, GGA-PBE.

a = 4.5693 Å, b = 4.3907 Å, c = 4.3907 Å
α = 90.00°, β = 90.00°, γ = 90.00°
Closest atoms and distances in Å follow each position.
Sites, in units of the cell vectors:
1 Ga 0.0000 0.5000 0.0000  4 Ga 3.10, 4 Ag 3.17, 4 Eu 3.17
2 Ag 0.5000 0.0000 0.0000  4 Eu 3.10, 8 Ga 3.17
3 Ga 0.0000 0.0000 0.5000  4 Ga 3.10, 4 Eu 3.17, 4 Ag 3.17
4 Eu 0.5000 0.5000 0.5000  4 Ag 3.10, 8 Ga 3.17

Summary:
ρ (g cm⁻³): 7.53
Calculated formation energy (eV/atom): -0.226

***

(4)
EuGa2Ag: optimized geometry, GGA-PBE.

a = 4.9076 Å, b = 4.9076 Å, c = 4.9076 Å
α = 60.00°, β = 60.00°, γ = 60.00°
Closest atoms and distances in Å follow each position.
Sites, in units of the cell vectors:
1 Ga 0.2500 0.2500 0.2500  4 Ag 3.01, 4 Eu 3.01
2 Eu 0.0000 0.0000 0.0000  8 Ga 3.01
3 Ag 0.5000 0.5000 0.5000  8 Ga 3.01
4 Ga 0.7500 0.7500 0.7500  4 Eu 3.01, 4 Ag 3.01

Summary:
ρ (g cm⁻³): 7.93
Calculated formation energy (eV/atom): -0.296